[1]
Sm12IrAu6, optimized geometry, DFT PBE-GGA; symmetry = No. 148; formation enthalpy at 0 K = -0.49 eV per atom; crystal system = trigonal
1.0
6.4683 3.7345 4.1163
-6.4683 3.7345 4.1163
0.0000 -7.4690 4.1163
Sm Ir Au
12 1 6
Direct
0.0390 0.6818 0.9322
0.0678 0.9610 0.3182
0.1822 0.4260 0.5789
0.3182 0.0678 0.9610
0.4211 0.8178 0.5740
0.4260 0.5789 0.1822
0.5740 0.4211 0.8178
0.5789 0.1822 0.4260
0.6818 0.9322 0.0390
0.8178 0.5740 0.4211
0.9322 0.0390 0.6818
0.9610 0.3182 0.0678
0.0000 0.0000 0.0000
0.1323 0.6236 0.3062
0.3062 0.1323 0.6236
0.3764 0.6938 0.8677
0.6236 0.3062 0.1323
0.6938 0.8677 0.3764
0.8677 0.3764 0.6938



[2]
Th4CSe3, optimized geometry, DFT PBE-GGA; symmetry = No. 65; energy relative to the lowest polymorph listed for this composition = 0.0000 eV per atom; crystal system = orthorhombic
1.0
4.2300 -5.8395 0.0000
4.2300 5.8395 0.0000
0.0000 0.0000 4.0082
Th C Se
4 1 3
Direct
0.2124 0.2124 0.5000
0.2283 0.7717 0.0000
0.7717 0.2283 0.0000
0.7876 0.7876 0.5000
0.0000 0.0000 0.0000
0.0000 0.5000 0.5000
0.5000 0.0000 0.5000
0.5000 0.5000 0.0000



no.,E_tot (eV/atom),V (Å³ per atom)
1,-4.97,31.4
2,-7.44,24.8